Below is Er2Ga3Au2 after structural relaxation, with properties calculated at the PBE level.

## Properties
- Space group: C2/m, No. 12
- Energy relative to the lowest polymorph listed for this composition: 0 meV per atom
- VASP energy: -4.1994 eV/atom

Lattice parameters (Å, degrees): 5.6881 5.6881 6.6851 111.54 111.54 44.87
With the nearest neighbours (Å) after each atom.
Fractional positions:
1 Er 0.1466 0.1466 0.2776  4 Au 3.03-3.14, 6 Ga 3.07-3.34
2 Er 0.8534 0.8534 0.7224  4 Au 3.03-3.14, 6 Ga 3.07-3.34
3 Ga 0.4045 0.4045 0.0716  2 Ga 2.55-2.63, 3 Au 2.67-2.71
4 Ga 0.5000 0.5000 0.5000  2 Ga 2.63, 4 Au 2.81
5 Ga 0.5955 0.5955 0.9284  2 Ga 2.55-2.63, 3 Au 2.67-2.71
6 Au 0.1565 0.1565 0.7403  5 Ga 2.67-2.81
7 Au 0.8435 0.8435 0.2597  5 Ga 2.67-2.81

Below is PaHg2AuO6 after structural relaxation, with properties calculated at the PBE level.

## Properties
- Space group: C2, No. 5
- Raw formation energy: -1.359 eV per atom
- VASP energy: -5.6716 eV/atom

Lattice parameters (Å, degrees): 6.6738 6.6738 5.0520 110.87 110.87 53.27
With the nearest neighbours (Å) after each atom.
Fractional positions:
1 Pa 0.0000 0.0000 0.0000  4 O 2.05-2.21
2 Hg 0.2211 0.3428 0.7695  2 O 2.06-2.12
3 Hg 0.6572 0.7789 0.2305  2 O 2.06-2.12
4 Au 0.5190 0.4810 0.5000  4 O 2.01-2.04
5 O 0.1870 0.1379 0.9543  1 Pa 2.05, 1 Hg 2.06
6 O 0.2044 0.6308 0.6565  1 Au 2.04, 1 Hg 2.12
7 O 0.3692 0.7956 0.3435  1 Au 2.04, 1 Hg 2.12
8 O 0.6649 0.1732 0.6585  1 Au 2.01, 1 Pa 2.21
9 O 0.8268 0.3351 0.3415  1 Au 2.01, 1 Pa 2.21
10 O 0.8621 0.8130 0.0457  1 Pa 2.05, 1 Hg 2.06

Below is Na2IrO after structural relaxation, with properties calculated at the PBE level.

## Properties
- Space group: I-42d, No. 122
- Raw formation energy: -0.389 eV per atom
- VASP energy: -4.5030 eV/atom

Lattice parameters (Å, degrees): 7.2724 7.2724 7.2724 93.95 93.95 149.57
With the nearest neighbours (Å) after each atom.
Fractional positions:
1 Na 0.3750 0.1130 0.2380  2 O 2.53
2 Na 0.8630 0.6250 0.7380  2 O 2.53
3 Na 0.8750 0.1370 0.7620  2 O 2.53
4 Na 0.8870 0.1250 0.2620  2 O 2.53
5 Ir 0.2500 0.7500 0.5000  2 O 1.91
6 Ir 0.5000 0.5000 0.0000  2 O 1.91
7 O 0.0000 0.0000 0.0000  2 Ir 1.91
8 O 0.7500 0.2500 0.5000  2 Ir 1.91

Below is VRe3S after structural relaxation, with properties calculated at the PBE level.

## Properties
- Space group: Pm-3m, No. 221
- Raw formation energy: 0.925 eV per atom
- Energy relative to the lowest polymorph listed for this composition: 0 meV per atom
- VASP energy: -9.1932 eV/atom

Lattice parameters (Å, degrees): 4.3259 4.3259 4.3259 90.00 90.00 90.00
With the nearest neighbours (Å) after each atom.
Fractional positions:
1 V 0.0000 0.0000 0.0000  12 Re 3.06
2 Re 0.0000 0.5000 0.5000  2 S 2.16
3 Re 0.5000 0.0000 0.5000  2 S 2.16
4 Re 0.5000 0.5000 0.0000  2 S 2.16
5 S 0.5000 0.5000 0.5000  6 Re 2.16

Below is Ca2AcTmS4 after structural relaxation, with properties calculated at the PBE level.

## Properties
- Space group: P2/m, No. 10
- Raw formation energy: -1.990 eV per atom
- VASP energy: -5.6270 eV/atom

Lattice parameters (Å, degrees): 7.0478 4.0393 7.0620 90.00 109.12 90.00
With the nearest neighbours (Å) after each atom.
Fractional positions:
1 Ca 0.0000 0.0000 0.0000  6 S 2.94-2.95
2 Ca 0.5000 0.5000 0.0000  6 S 2.78-2.79
3 Ac 0.0000 0.5000 0.5000  6 S 2.96-2.97
4 Tm 0.5000 0.0000 0.5000  6 S 2.81
5 S 0.2680 0.5000 0.2532  3 Ca 2.79-2.94, 2 Tm 2.81, 1 Ac 2.96
6 S 0.2719 0.0000 0.7598  3 Ca 2.78-2.95, 1 Tm 2.81, 2 Ac 2.97
7 S 0.7281 0.0000 0.2402  3 Ca 2.78-2.95, 1 Tm 2.81, 2 Ac 2.97
8 S 0.7320 0.5000 0.7468  3 Ca 2.79-2.94, 2 Tm 2.81, 1 Ac 2.96

Below is Cs3TmPu2S6 after structural relaxation, with properties calculated at the PBE level.

## Properties
- Space group: C2/m, No. 12
- Raw formation energy: -1.624 eV per atom
- VASP energy: -6.6628 eV/atom

Lattice parameters (Å, degrees): 7.1584 7.1584 8.3859 98.18 98.18 120.00
With the nearest neighbours (Å) after each atom.
Fractional positions:
1 Cs 0.0000 0.0000 0.0000  6 S 3.50-3.53
2 Cs 0.3333 0.6667 0.0000  6 S 3.50-3.53
3 Cs 0.6667 0.3333 0.0000  6 S 3.50-3.53
4 Tm 0.5000 0.5000 0.5000  6 S 2.76
5 Pu 0.1667 0.8333 0.5000  6 S 2.80-2.81
6 Pu 0.8333 0.1667 0.5000  6 S 2.80-2.81
7 S 0.1117 0.4401 0.3203  1 Tm 2.76, 2 Pu 2.80
8 S 0.2315 0.2315 0.6798  1 Tm 2.76, 2 Pu 2.81
9 S 0.4401 0.1117 0.3203  1 Tm 2.76, 2 Pu 2.80
10 S 0.5599 0.8883 0.6797  1 Tm 2.76, 2 Pu 2.80
11 S 0.7685 0.7685 0.3202  1 Tm 2.76, 2 Pu 2.81
12 S 0.8883 0.5599 0.6797  1 Tm 2.76, 2 Pu 2.80

Below is KNpIn2O8 after structural relaxation, with properties calculated at the PBE level.

## Properties
- Space group: P-1, No. 2
- Raw formation energy: -1.702 eV per atom
- VASP energy: -6.6333 eV/atom

Lattice parameters (Å, degrees): 5.0338 5.1121 7.8968 94.58 90.39 91.88
With the nearest neighbours (Å) after each atom.
Fractional positions:
1 K 0.0000 0.0000 0.0000  6 O 2.77-3.03
2 Np 0.0000 0.0000 0.5000  4 O 1.95-1.99
3 In 0.4943 0.5160 0.6960  5 O 2.08-2.24
4 In 0.5057 0.4840 0.3040  5 O 2.08-2.24
5 O 0.1882 0.2064 0.6918  1 Np 1.99, 1 In 2.17
6 O 0.1889 0.1690 0.3218  1 Np 1.95
7 O 0.2988 0.6997 0.4990  2 In 2.12-2.13, 1 Np 2.18
8 O 0.4773 0.3781 0.0444  1 O 1.49
9 O 0.5227 0.6219 0.9556  1 O 1.49
10 O 0.7012 0.3003 0.5010  2 In 2.12-2.13, 1 Np 2.18
11 O 0.8111 0.8310 0.6782  1 Np 1.95
12 O 0.8118 0.7936 0.3082  1 Np 1.99, 1 In 2.17

Below is Ta2TlRh after structural relaxation, with properties calculated at the PBE level.

## Properties
- Space group: P4/mmm, No. 123
- Energy relative to the lowest polymorph listed for this composition: 213 meV per atom
- VASP energy: -8.0730 eV/atom

Lattice parameters (Å, degrees): 3.3626 3.3626 6.6257 90.00 90.00 90.00
With the nearest neighbours (Å) after each atom.
Fractional positions:
1 Ta 0.0000 0.0000 0.2067  1 Ta 2.74, 4 Rh 2.74
2 Ta 0.0000 0.0000 0.7933  1 Ta 2.74, 4 Rh 2.74
3 Tl 0.5000 0.5000 0.5000  8 Ta 3.07, 2 Rh 3.31, 4 Tl 3.36
4 Rh 0.5000 0.5000 0.0000  8 Ta 2.74

Below is YBi3C after structural relaxation, with properties calculated at the PBE level.

## Properties
- Space group: Pm-3m, No. 221
- Energy relative to the lowest polymorph listed for this composition: 0 meV per atom
- VASP energy: -4.8714 eV/atom

Lattice parameters (Å, degrees): 5.0555 5.0555 5.0555 90.00 90.00 90.00
With the nearest neighbours (Å) after each atom.
Fractional positions:
1 Y 0.0000 0.0000 0.0000  12 Bi 3.57
2 Bi 0.0000 0.5000 0.5000  2 C 2.53
3 Bi 0.5000 0.0000 0.5000  2 C 2.53
4 Bi 0.5000 0.5000 0.0000  2 C 2.53
5 C 0.5000 0.5000 0.5000  6 Bi 2.53

Below is LiTm4Cu5 after structural relaxation, with properties calculated at the PBE level.

## Properties
- Space group: P4/mmm, No. 123
- VASP energy: -4.2448 eV/atom

Lattice parameters (Å, degrees): 3.3666 3.3666 16.5089 90.00 90.00 90.00
With the nearest neighbours (Å) after each atom.
Fractional positions:
1 Li 0.0000 0.0000 0.0000  8 Cu 2.70, 2 Tm 3.02
2 Tm 0.0000 0.0000 0.1830  8 Cu 2.95-2.96, 1 Li 3.02
3 Tm 0.0000 0.0000 0.3944  8 Cu 2.95
4 Tm 0.0000 0.0000 0.6056  8 Cu 2.95
5 Tm 0.0000 0.0000 0.8170  8 Cu 2.95-2.96, 1 Li 3.02
6 Cu 0.5000 0.5000 0.0773  1 Cu 2.55, 4 Li 2.70
7 Cu 0.5000 0.5000 0.2892  8 Tm 2.95-2.96
8 Cu 0.5000 0.5000 0.5000  8 Tm 2.95
9 Cu 0.5000 0.5000 0.7108  8 Tm 2.95-2.96
10 Cu 0.5000 0.5000 0.9227  1 Cu 2.55, 4 Li 2.70

Below is TaAlRu2 after structural relaxation, with properties calculated at the PBE level.

## Properties
- Space group: F-43m, No. 216
- VASP energy: -8.5340 eV/atom

Lattice parameters (Å, degrees): 4.4185 4.4185 4.4185 60.00 60.00 60.00
With the nearest neighbours (Å) after each atom.
Fractional positions:
1 Ta 0.0000 0.0000 0.0000  4 Ru 2.71, 4 Al 2.71
2 Al 0.2500 0.2500 0.2500  4 Ru 2.71, 4 Ta 2.71
3 Ru 0.5000 0.5000 0.5000  4 Al 2.71, 4 Ru 2.71
4 Ru 0.7500 0.7500 0.7500  4 Ru 2.71, 4 Ta 2.71

Below is CeAg2Ge after structural relaxation, with properties calculated at the PBE level.

## Properties
- Space group: R-3m, No. 166
- VASP energy: -3.8324 eV/atom

Lattice parameters (Å, degrees): 11.2748 11.2748 11.2748 15.01 15.01 15.01
With the nearest neighbours (Å) after each atom.
Fractional positions:
1 Ce 0.0000 0.0000 0.0000  6 Ce 2.95, 2 Ag 3.11
2 Ag 0.0931 0.0931 0.0931  6 Ag 2.95, 3 Ge 2.99, 1 Ce 3.11
3 Ag 0.9069 0.9069 0.9069  6 Ag 2.95, 3 Ge 2.99, 1 Ce 3.11
4 Ge 0.5000 0.5000 0.5000  6 Ge 2.95, 6 Ag 2.99

> Among the records above, which one has the highest VASP energy?

CeAg2Ge